[1]
Here is an optimized crystal structure of CsHg3PbSe4 from OQMD. Energies are from PBE.

Summary:
Its volume is 355 Å³/f.u.

The structure in POSCAR format:
```
CsHg3PbSe4
1.0
7.078 0.000 0.000
0.000 7.078 0.000
0.000 0.000 7.078
Cs Hg Pb Se
1 3 1 4
direct
0.000 0.000 0.000
0.500 0.500 0.000
0.500 0.000 0.500
0.000 0.500 0.500
0.500 0.500 0.500
0.270 0.270 0.270
0.730 0.730 0.270
0.730 0.270 0.730
0.270 0.730 0.730
```

***

[2]
Here is an optimized crystal structure of KRe3Pb5 from OQMD. Energies are from PBE.

Summary:
Its volume is 254 Å³/f.u. The size of the total moment comes out at 0.10 μB/cell.

The structure in POSCAR format:
```
KRe3Pb5
1.0
-3.546 -2.572 3.431
3.745 -2.959 -2.859
6.196 0.960 7.123
K Pb Re
1 5 3
direct
0.000 0.000 0.000
0.667 0.333 0.233
0.333 0.667 0.233
0.000 0.000 0.500
0.667 0.333 0.767
0.333 0.667 0.767
0.500 0.000 0.500
0.000 0.500 0.500
0.500 0.500 0.500
```

***

[3]
Here is an optimized crystal structure of DyZnTe from OQMD. Energies are from PBE.

Summary:
Its volume is 82 Å³/f.u. The size of the total moment comes out at 0.01 μB/cell.

The structure in POSCAR format:
```
DyZnTe
1.0
-0.300 -4.856 0.178
-2.674 -2.149 3.455
-4.167 -2.226 -1.179
Dy Te Zn
1 1 1
direct
0.250 0.250 0.250
0.750 0.750 0.750
0.000 0.000 0.000
```

***

[4]
Here is an optimized crystal structure of ScNbFeAs from OQMD. Energies are from PBE.

Summary:
Its volume is 62 Å³/f.u. The size of the total moment comes out at 2.57 μB/cell.

The structure in POSCAR format:
```
ScNbFeAs
1.0
0.000 3.146 3.146
3.146 0.000 3.146
3.146 3.146 0.000
As Fe Nb Sc
1 1 1 1
direct
0.000 0.000 0.000
0.750 0.750 0.750
0.250 0.250 0.250
0.500 0.500 0.500
```

***

Number 1: E -2.388 eV per atom. Number 2: E -5.890 eV per atom. Number 3: E -3.290 eV per atom. Number 4: E -7.251 eV per atom.